Record 1
Below is an optimized crystal structure of RbNa2IrCl8, with properties calculated at the PBE level.

Formation energy without anion corrections ... -1.05 eV per atom

a b c (Å): 5.8586 6.3037 9.1928
angles (deg): 90.04 90.25 93.49
With the nearest neighbours (Å) after each atom.
Fractional positions:
Rb 0.0000 0.0000 0.0000  8 Cl 3.34-3.59
Na 0.4985 0.5001 0.7320  6 Cl 2.86-2.92
Na 0.5015 0.4999 0.2680  6 Cl 2.86-2.92
Ir 0.0000 0.0000 0.5000  6 Cl 2.34
Cl 0.2244 0.3199 0.4990  1 Ir 2.34
Cl 0.2284 0.8655 0.3180  1 Ir 2.34
Cl 0.2312 0.8686 0.6830  1 Ir 2.34
Cl 0.2516 0.4949 0.0000  2 Na 2.86, 2 Cl 2.91-2.95
Cl 0.7484 0.5051 0.0000  2 Na 2.86, 2 Cl 2.91-2.95
Cl 0.7688 0.1314 0.3170  1 Ir 2.34
Cl 0.7716 0.1345 0.6820  1 Ir 2.34
Cl 0.7756 0.6801 0.5010  1 Ir 2.34

Record 2
Below is an optimized crystal structure of La12InPb3, with properties calculated at the PBE level.

Energy relative to the elements ... -0.37 eV/atom

a b c (Å): 5.0781 5.0781 20.2593
angles (deg): 90.00 90.00 90.00
With the nearest neighbours (Å) after each atom.
Fractional positions:
La 0.0000 0.0000 0.0000  8 La 3.58, 4 In 3.59
La 0.0000 0.0000 0.2499  8 La 3.59, 4 Pb 3.59
La 0.0000 0.0000 0.5000  8 La 3.58, 4 Pb 3.59
La 0.0000 0.0000 0.7501  8 La 3.59, 4 Pb 3.59
La 0.0000 0.5000 0.1248  2 Pb 3.58, 8 La 3.58-3.59, 2 In 3.58
La 0.0000 0.5000 0.3752  8 La 3.58-3.59, 4 Pb 3.58-3.60
La 0.0000 0.5000 0.6248  8 La 3.58-3.59, 4 Pb 3.58-3.60
La 0.0000 0.5000 0.8752  2 Pb 3.58, 8 La 3.58-3.59, 2 In 3.58
La 0.5000 0.0000 0.1248  2 Pb 3.58, 8 La 3.58-3.59, 2 In 3.58
La 0.5000 0.0000 0.3752  8 La 3.58-3.59, 4 Pb 3.58-3.60
La 0.5000 0.0000 0.6248  8 La 3.58-3.59, 4 Pb 3.58-3.60
La 0.5000 0.0000 0.8752  2 Pb 3.58, 8 La 3.58-3.59, 2 In 3.58
In 0.5000 0.5000 0.0000  12 La 3.58-3.59
Pb 0.5000 0.5000 0.2494  12 La 3.58-3.60
Pb 0.5000 0.5000 0.5000  12 La 3.58-3.59
Pb 0.5000 0.5000 0.7506  12 La 3.58-3.60